No. 1
LiCe2PrTe5 PBE relaxed; density = 6.28 g/cm3; formation energy (no corrections) = -1.2736 eV per atom; magnetization = 0.0 Bohr magnetons per cell
1.0
2.2316 -9.4780 0.0000
2.2316 9.4780 0.0000
0.0000 0.0000 13.3320
Li Ce Pr Te
2 4 2 10
Direct
0.0536 0.9464 0.5000
0.9464 0.0536 0.0000
0.3763 0.6237 0.3401
0.3933 0.6067 0.7204
0.6067 0.3933 0.2204
0.6237 0.3763 0.8401
0.3001 0.6999 0.0444
0.6999 0.3001 0.5444
0.0020 0.9980 0.8158
0.1328 0.8672 0.0362
0.1844 0.8156 0.3774
0.2143 0.7857 0.7123
0.4547 0.5453 0.1098
0.5453 0.4547 0.6098
0.7857 0.2143 0.2123
0.8156 0.1844 0.8774
0.8672 0.1328 0.5362
0.9980 0.0020 0.3158



No. 2
LiCe3Pr2Te6 PBE relaxed; density = 6.39 g/cm3; formation energy (no corrections) = -1.3589 eV per atom; magnetization = 3.4 Bohr magnetons per cell
1.0
9.7900 -2.2379 0.0000
9.7900 2.2379 0.0000
-2.0920 0.0000 8.7416
Li Ce Pr Te
1 3 2 6
Direct
0.0000 0.0000 0.0000
0.0000 0.0000 0.5000
0.3313 0.3313 0.1647
0.6687 0.6687 0.8353
0.3318 0.3318 0.6618
0.6682 0.6682 0.3382
0.1608 0.1608 0.0801
0.1651 0.1651 0.5870
0.4991 0.4991 0.2394
0.5009 0.5009 0.7606
0.8349 0.8349 0.4130
0.8392 0.8392 0.9199



No. 3
LiCePr2Tl4 PBE relaxed; density = 8.99 g/cm3; E_form = -307 meV/atom; magnetization = 1.0 Bohr magnetons per cell
1.0
2.6842 1.5497 9.2257
-2.6842 1.5497 9.2257
0.0000 -3.0994 9.2257
Li Ce Pr Tl
1 1 2 4
Direct
0.0000 0.0000 0.0000
0.5000 0.5000 0.5000
0.2568 0.2568 0.2568
0.7432 0.7432 0.7432
0.1244 0.1244 0.1244
0.3734 0.3734 0.3734
0.6266 0.6266 0.6266
0.8756 0.8756 0.8756



Which value of density does entry 1 give? 6.28 g/cm3